Entry 1:
# NdScBi (PBE, relaxed)
# Energy of formation from the pure elements in kJ/mol of formula units: -193
data_NdScBi
_symmetry_space_group_name_H-M 'P 4/n m m'
_symmetry_Int_Tables_number 129
_cell_length_a 4.5074
_cell_length_b 4.5074
_cell_length_c 8.5442
_cell_angle_alpha 90.00
_cell_angle_beta 90.00
_cell_angle_gamma 90.00
loop_
_symmetry_equiv_pos_as_xyz
'x,y,z'
'-x,-y,-z'
'-y+1/2,x,z'
'y+1/2,-x,-z'
'-x+1/2,-y+1/2,z'
'x+1/2,y+1/2,-z'
'y,-x+1/2,z'
'-y,x+1/2,-z'
'x+1/2,-y,-z'
'-x+1/2,y,z'
'-y,-x,-z'
'y,x,z'
'-x,y+1/2,-z'
'x,-y+1/2,z'
'y+1/2,x+1/2,-z'
'-y+1/2,-x+1/2,z'
loop_
_atom_site_label
_atom_site_type_symbol
_atom_site_fract_x
_atom_site_fract_y
_atom_site_fract_z
Nd1 Nd 0.2500 0.2500 0.1522
Sc1 Sc 0.2500 0.7500 0.5000
Bi1 Bi 0.2500 0.2500 0.7583

---

Entry 2:
# FeSbAs (PBE, relaxed)
# Energy relative to the elements, uncorrected in eV per atom: 0.00
# Energy above the lowest structure with this stoichiometry in meV/atom: 127
data_FeSbAs
_symmetry_space_group_name_H-M 'C 1 m 1'
_symmetry_Int_Tables_number 8
_symmetry_space_group_name_Hall 'C -2y'
_cell_length_a 11.9158
_cell_length_b 3.1616
_cell_length_c 7.9522
_cell_angle_alpha 90.00
_cell_angle_beta 128.34
_cell_angle_gamma 90.00
loop_
_atom_site_label
_atom_site_type_symbol
_atom_site_fract_x
_atom_site_fract_y
_atom_site_fract_z
Fe1 Fe 0.0000 0.0000 0.0000
Fe2 Fe 0.1703 0.0000 0.4188
Sb1 Sb 0.4413 0.0000 0.2084
Sb2 Sb 0.4603 0.0000 0.7000
As1 As 0.1952 0.5000 0.2036
As2 As 0.2403 0.5000 0.6949

---

Entry 3:
# Nb2PdS3 (PBE, relaxed)
# Energy relative to the elements, uncorrected in eV per atom: -0.73
data_Nb2PdS3
_symmetry_space_group_name_H-M 'C 1 2/c 1'
_symmetry_Int_Tables_number 15
_symmetry_space_group_name_Hall '-C 2yc'
_cell_length_a 12.1064
_cell_length_b 5.1805
_cell_length_c 6.6160
_cell_angle_alpha 90.00
_cell_angle_beta 105.96
_cell_angle_gamma 90.00
loop_
_atom_site_label
_atom_site_type_symbol
_atom_site_fract_x
_atom_site_fract_y
_atom_site_fract_z
Nb1 Nb 0.1324 0.9995 0.0647
Pd1 Pd 0.0000 0.3139 0.2500
S1 S 0.0000 0.2196 0.7500
S2 S 0.2024 0.4991 0.6028